Entry P
Entry from Alexandria: a relaxed structure of HoMg2Hg (GGA-PBE).

a b c (Å): 11.3537 11.3537 11.3537
angles (deg): 16.55 16.55 16.55
Last column: nearest neighbours and their distance in Å.
Positions (direct):
Ho 0.0000 0.0000 0.0000  2 Mg 3.21, 6 Ho 3.27
Mg 0.0957 0.0957 0.0957  3 Hg 3.04, 1 Ho 3.21, 6 Mg 3.27
Mg 0.9043 0.9043 0.9043  3 Hg 3.04, 1 Ho 3.21, 6 Mg 3.27
Hg 0.5000 0.5000 0.5000  6 Mg 3.04, 6 Hg 3.27

## Properties
As for the space-group type: R-3m.

***

Entry Q
Entry from Alexandria: a relaxed structure of HoMg2Hg (GGA-PBE).

a b c (Å): 4.4322 4.4322 4.8615
angles (deg): 90.00 90.00 90.00
Last column: nearest neighbours and their distance in Å.
Positions (direct):
Ho 0.0000 0.0000 0.0000  4 Hg 3.13, 8 Mg 3.29
Mg 0.0000 0.5000 0.5000  4 Mg 3.13, 4 Hg 3.29, 4 Ho 3.29
Mg 0.5000 0.0000 0.5000  4 Mg 3.13, 4 Hg 3.29, 4 Ho 3.29
Hg 0.5000 0.5000 0.0000  4 Ho 3.13, 8 Mg 3.29

## Properties
As for the space-group type: P4/mmm.

***

Least stable = entry P